The following is a DFT calculation (meta-GGA SCAN) of a crystal of Na2TiInTe relaxed with PBEsol.

The structure in extended XYZ format:
```
5
Lattice="5.6022 0.0000 0.0000 0.0000 5.6022 0.0000 0.0000 0.0000 5.2007" Properties=species:S:1:pos:R:3 pbc="T T T"
Na 0.0000 2.8011 0.0000
Na 2.8011 0.0000 0.0000
Ti 0.0000 0.0000 2.6004
In 2.8011 2.8011 2.6004
Te 0.0000 0.0000 0.0000
```

Energy relative to the elements, uncorrected in kJ/mol of formula units: 45.5
Calculated volume in Å³/f.u.: 163.2
Calculated total energy in eV/atom: -18.925